Entry 1:
VASP calculation (GGA-PBE) on crystalline LiRu2 at its relaxed geometry.

```
LiRu2
1.0
-2.750 -0.987 -3.525
1.728 -0.345 -4.226
0.228 -1.566 4.296
Ru Li
2 1
Cartesian
-0.333 -0.434 -2.524
-0.689 -0.899 -5.226
0.000 0.000 0.000
```

Computed properties:
space-group type	Immm (71)
density	8.72	g/cm3
D(E_F)	1.9	states/eV per cell
raw total energy	-19.9	eV per formula unit

---

Entry 2:
VASP calculation (GGA-PBE) on crystalline Ba2Ga5Ir at its relaxed geometry.

```
Ba2Ga5Ir
1.0
-3.453 -2.583 -2.515
3.792 -0.100 -5.104
2.590 -5.441 2.031
Ga Ba Ir
5 2 1
Cartesian
3.441 -1.660 -3.020
-1.726 -1.291 -1.258
1.864 -1.618 -0.897
2.941 -3.881 -0.053
4.518 -3.922 -2.175
-0.431 -4.012 -0.242
0.170 -1.341 -3.809
0.000 0.000 0.000
```

Computed properties:
space-group type	P4/mmm (123)
density	6.71	g/cm3
D(E_F)	4.6	states/eV per cell
raw total energy	-30.6	eV per formula unit